Here is crystalline DyHoCdNi at its relaxed geometry from Alexandria. Energies are from PBE-GGA.

Output
The calculation puts the formation energy at -1.50 eV/f.u.

a b c (Å): 3.441 3.441 7.616
angles (deg): 90.00 90.00 90.00
Space group P4mm (No. 99)
Symmetry-distinct sites (fractional):
1 Dy 0.000 0.000 0.000 x1
2 Ho 0.000 0.000 0.577 x1
3 Cd 0.500 0.500 0.290 x1
4 Ni 0.500 0.500 0.786 x1